# 1
YTe4Ir PBE relaxed; formation energy without anion corrections = 0.627 eV per atom; space group = F-43m; crystal system = cubic
1.0
-2.3017 -5.4731 1.4800
-5.9982 -1.0572 -0.5885
-2.0293 -3.7533 -4.3861
Te Y Ir
4 1 1
Direct
0.3740 0.8780 0.3740
0.3740 0.3740 0.8780
0.3740 0.3740 0.3740
0.8780 0.3740 0.3740
0.7500 0.7500 0.7500
0.0000 0.0000 0.0000



# 2
YTe2Ir2 PBE relaxed; formation energy without anion corrections = -0.265 eV per atom; space group = I4/mmm; distance to the lowest polymorph of the same formula = 0.000 eV per atom; crystal system = tetragonal
1.0
-1.7259 1.4683 4.3293
-4.5688 -0.3940 -1.6878
-3.2996 -3.9359 2.7771
Te Ir Y
2 2 1
Direct
0.2500 0.7500 0.5000
0.7500 0.2500 0.5000
0.6382 0.6382 0.7236
0.3618 0.3618 0.2764
0.0000 0.0000 0.0000



# 3
Y3TeIr PBE relaxed; formation energy without anion corrections = -0.943 eV per atom; space group = Pnma; distance to the lowest polymorph of the same formula = 0.000 eV per atom; crystal system = orthorhombic
1.0
4.2894 0.0000 0.0000
0.0000 7.6200 0.0000
0.0000 0.0000 16.6620
Y Ir Te
12 4 4
Direct
0.2500 0.1767 0.7934
0.2500 0.8640 0.9476
0.7500 0.3233 0.2934
0.2500 0.5163 0.0907
0.7500 0.8233 0.2066
0.7500 0.6360 0.4476
0.2500 0.0163 0.4093
0.7500 0.4837 0.9093
0.2500 0.6767 0.7066
0.7500 0.1360 0.0524
0.7500 0.9837 0.5907
0.2500 0.3640 0.5524
0.7500 0.2415 0.4571
0.2500 0.2585 0.9571
0.7500 0.7415 0.0429
0.2500 0.7585 0.5429
0.2500 0.1240 0.2004
0.2500 0.6240 0.2996
0.7500 0.8760 0.7996
0.7500 0.3760 0.7004



# 4
YTeIr3 PBE relaxed; formation energy without anion corrections = 0.730 eV per atom; space group = Pm-3m; distance to the lowest polymorph of the same formula = 0.000 eV per atom; crystal system = cubic
1.0
-1.8347 -1.6387 4.1965
-3.4410 -2.4148 -2.4474
2.9077 -3.8917 -0.2484
Ir Te Y
3 1 1
Direct
0.0000 0.5000 0.0000
0.0000 0.0000 0.5000
0.5000 0.0000 0.0000
0.0000 0.0000 0.0000
0.5000 0.5000 0.5000



# 5
ZnTeIr PBE relaxed; formation energy without anion corrections = 0.161 eV per atom; space group = P3m1; distance to the lowest polymorph of the same formula = 0.240 eV per atom; crystal system = trigonal
1.0
-1.0940 3.0557 -1.6095
-1.9838 -3.0164 -0.3011
-2.8618 1.4190 4.6392
Te Zn Ir
1 1 1
Direct
0.3333 0.6667 0.2762
0.6667 0.3333 0.7187
0.0000 0.0000 0.0050



# 6
ZnTeIr PBE relaxed; formation energy without anion corrections = 0.208 eV per atom; space group = I4mm; distance to the lowest polymorph of the same formula = 0.286 eV per atom; crystal system = tetragonal
1.0
-0.8842 3.3539 5.4590
-3.3242 1.4525 5.3546
1.2923 -1.7779 2.1792
Ir Zn Te
1 1 1
Direct
0.9910 0.9910 0.0090
0.3681 0.3681 0.6319
0.6409 0.6409 0.3591



# 7
Zn2Te2Ir PBE relaxed; formation energy without anion corrections = 0.376 eV per atom; space group = P4/mbm; distance to the lowest polymorph of the same formula = 0.000 eV per atom; crystal system = tetragonal
1.0
6.9813 0.0000 0.0000
0.0000 6.9813 0.0000
0.0000 0.0000 4.0473
Zn Te Ir
4 4 2
Direct
0.3717 0.8717 0.0000
0.1283 0.3717 0.0000
0.6283 0.1283 0.0000
0.8717 0.6283 0.0000
0.3096 0.1904 0.5000
0.6904 0.8096 0.5000
0.1904 0.6904 0.5000
0.8096 0.3096 0.5000
0.0000 0.0000 0.0000
0.5000 0.5000 0.0000



# 8
ZnTeIr3 PBE relaxed; formation energy without anion corrections = 1.626 eV per atom; space group = Pm-3m; distance to the lowest polymorph of the same formula = 0.245 eV per atom; crystal system = cubic
1.0
4.8448 0.0000 0.0000
0.0000 4.8448 0.0000
0.0000 0.0000 4.8448
Ir Zn Te
3 1 1
Direct
0.0000 0.0000 0.5000
0.5000 0.0000 0.0000
0.0000 0.5000 0.0000
0.5000 0.5000 0.5000
0.0000 0.0000 0.0000



Question: Which formula does entry 5 have?
Answer: ZnTeIr



Question: What is the formation energy without anion corrections in the fifth record?
Answer: 0.161 eV per atom



Question: Which value of formation energy without anion corrections does entry 5 give?
Answer: 0.161 eV per atom